Entry from the Alexandria database: an optimized crystal structure of Na3NiBAsO7 (PBE+U).

Lattice parameters (Å, degrees): 5.249 6.932 9.023 90.00 91.97 90.00
Atoms (fractional coordinates):
Na1 0.230 0.250 0.082
Na2 0.254 0.505 0.741
Na3 0.254 0.995 0.741
Na4 0.746 0.005 0.259
Na5 0.746 0.495 0.259
Na6 0.770 0.750 0.918
Ni1 0.215 0.750 0.334
Ni2 0.785 0.250 0.666
B1 0.277 0.750 0.066
B2 0.723 0.250 0.934
As1 0.283 0.250 0.420
As2 0.717 0.750 0.580
O1 0.041 0.750 0.131
O2 0.132 0.250 0.586
O3 0.211 0.056 0.307
O4 0.211 0.444 0.307
O5 0.309 0.750 0.918
O6 0.391 0.750 0.537
O7 0.474 0.750 0.172
O8 0.526 0.250 0.828
O9 0.609 0.250 0.463
O10 0.691 0.250 0.082
O11 0.789 0.556 0.693
O12 0.789 0.944 0.693
O13 0.868 0.750 0.414
O14 0.959 0.250 0.869

Results
calculated density	3.29	Mg/m³
electronic total energy	-147.84	eV/cell